[1]
Crystalline Pm3ZnSi6Pd2 at its relaxed geometry, computed with PBE-GGA.

Unit cell a=5.763 b=5.763 c=8.283 alpha=90.00 beta=90.00 gamma=120.00
Fractional coordinates of all 12 atoms:
Pm (0.000, 0.000, 0.000)
Pm (0.333, 0.667, 0.615)
Pm (0.667, 0.333, 0.385)
Zn (0.000, 0.000, 0.500)
Si (0.193, 0.385, 0.278)
Si (0.193, 0.807, 0.278)
Si (0.385, 0.193, 0.722)
Si (0.615, 0.807, 0.278)
Si (0.807, 0.193, 0.722)
Si (0.807, 0.615, 0.722)
Pd (0.333, 0.667, 0.028)
Pd (0.667, 0.333, 0.972)

Values from the calculation:
- formation energy (no corrections) (eV/f.u.) = -4.759
- crystal system = trigonal

[2]
Crystalline Pm2ZnSi3Pd4 at its relaxed geometry, computed with PBE-GGA.

Unit cell a=4.257 b=4.257 c=10.012 alpha=90.00 beta=90.00 gamma=90.00
Fractional coordinates of all 10 atoms:
Pm (0.000, 0.500, 0.248)
Pm (0.500, 0.000, 0.752)
Zn (0.500, 0.500, 0.000)
Si (0.000, 0.000, 0.000)
Si (0.000, 0.500, 0.628)
Si (0.500, 0.000, 0.372)
Pd (0.000, 0.000, 0.500)
Pd (0.000, 0.500, 0.867)
Pd (0.500, 0.000, 0.133)
Pd (0.500, 0.500, 0.500)

Values from the calculation:
- formation energy (no corrections) (eV/f.u.) = -8.569
- crystal system = tetragonal

[3]
Crystalline PmZnSiPd2 at its relaxed geometry, computed with PBE-GGA.

Unit cell a=3.938 b=4.160 c=11.290 alpha=90.00 beta=90.00 gamma=90.00
Fractional coordinates of all 10 atoms:
Pm (0.000, 0.000, 0.000)
Pm (0.500, 0.500, 0.500)
Zn (0.000, 0.500, 0.746)
Zn (0.500, 0.000, 0.246)
Si (0.000, 0.000, 0.613)
Si (0.500, 0.500, 0.113)
Pd (0.000, 0.000, 0.402)
Pd (0.000, 0.500, 0.234)
Pd (0.500, 0.000, 0.734)
Pd (0.500, 0.500, 0.902)

Values from the calculation:
- formation energy (no corrections) (eV/f.u.) = -3.555
- crystal system = orthorhombic

[4]
Crystalline PmZnSi2Pd at its relaxed geometry, computed with PBE-GGA.

Unit cell a=4.121 b=4.121 c=10.382 alpha=90.00 beta=90.00 gamma=90.00
Fractional coordinates of all 10 atoms:
Pm (0.000, 0.000, 0.000)
Pm (0.500, 0.500, 0.500)
Zn (0.000, 0.500, 0.750)
Zn (0.500, 0.000, 0.250)
Si (0.000, 0.000, 0.386)
Si (0.000, 0.000, 0.614)
Si (0.500, 0.500, 0.114)
Si (0.500, 0.500, 0.886)
Pd (0.000, 0.500, 0.250)
Pd (0.500, 0.000, 0.750)

Values from the calculation:
- formation energy (no corrections) (eV/f.u.) = -3.750
- crystal system = tetragonal

[5]
Crystalline PmZrSiPd at its relaxed geometry, computed with PBE-GGA.

Unit cell a=6.952 b=6.952 c=6.952 alpha=90.00 beta=90.00 gamma=90.00
Fractional coordinates of all 16 atoms:
Pm (0.000, 0.000, 0.000)
Pm (0.000, 0.500, 0.500)
Pm (0.500, 0.000, 0.500)
Pm (0.500, 0.500, 0.000)
Zr (0.000, 0.000, 0.500)
Zr (0.000, 0.500, 0.000)
Zr (0.500, 0.000, 0.000)
Zr (0.500, 0.500, 0.500)
Si (0.250, 0.250, 0.250)
Si (0.250, 0.750, 0.750)
Si (0.750, 0.250, 0.750)
Si (0.750, 0.750, 0.250)
Pd (0.250, 0.250, 0.750)
Pd (0.250, 0.750, 0.250)
Pd (0.750, 0.250, 0.250)
Pd (0.750, 0.750, 0.750)

Values from the calculation:
- formation energy (no corrections) (eV/f.u.) = -1.984
- crystal system = cubic

[6]
Crystalline Pm3Sm2Pd4 at its relaxed geometry, computed with PBE-GGA.

Unit cell a=9.012 b=9.012 c=7.894 alpha=90.00 beta=90.00 gamma=132.94
Fractional coordinates of all 18 atoms:
Pm (0.000, 0.000, 0.000)
Pm (0.033, 0.467, 0.250)
Pm (0.467, 0.033, 0.750)
Pm (0.500, 0.500, 0.500)
Pm (0.533, 0.967, 0.250)
Pm (0.967, 0.533, 0.750)
Sm (0.096, 0.904, 0.402)
Sm (0.404, 0.596, 0.902)
Sm (0.596, 0.404, 0.098)
Sm (0.904, 0.096, 0.598)
Pd (0.182, 0.818, 0.051)
Pd (0.209, 0.291, 0.250)
Pd (0.291, 0.209, 0.750)
Pd (0.318, 0.682, 0.551)
Pd (0.682, 0.318, 0.449)
Pd (0.709, 0.791, 0.250)
Pd (0.791, 0.709, 0.750)
Pd (0.818, 0.182, 0.949)

Values from the calculation:
- crystal system = orthorhombic
- formation enthalpy at 0 K (eV/f.u.) = -5.4

[7]
Crystalline Pm2Sm2Pd15 at its relaxed geometry, computed with PBE-GGA.

Unit cell a=7.154 b=7.154 c=7.154 alpha=80.98 beta=80.98 gamma=80.98
Fractional coordinates of all 19 atoms:
Pm (0.136, 0.136, 0.136)
Pm (0.864, 0.864, 0.864)
Sm (0.391, 0.391, 0.391)
Sm (0.609, 0.609, 0.609)
Pd (0.000, 0.500, 0.500)
Pd (0.150, 0.150, 0.663)
Pd (0.150, 0.663, 0.150)
Pd (0.189, 0.500, 0.811)
Pd (0.189, 0.811, 0.500)
Pd (0.337, 0.850, 0.850)
Pd (0.500, 0.000, 0.500)
Pd (0.500, 0.189, 0.811)
Pd (0.500, 0.500, 0.000)
Pd (0.500, 0.811, 0.189)
Pd (0.663, 0.150, 0.150)
Pd (0.811, 0.189, 0.500)
Pd (0.811, 0.500, 0.189)
Pd (0.850, 0.337, 0.850)
Pd (0.850, 0.850, 0.337)

Values from the calculation:
- crystal system = trigonal
- formation enthalpy at 0 K (eV/f.u.) = -10.4

[8]
Crystalline PmSm2Pd at its relaxed geometry, computed with PBE-GGA.

Unit cell a=7.189 b=9.993 c=6.577 alpha=90.00 beta=90.00 gamma=90.00
Fractional coordinates of all 16 atoms:
Pm (0.024, 0.250, 0.139)
Pm (0.476, 0.750, 0.639)
Pm (0.524, 0.250, 0.361)
Pm (0.976, 0.750, 0.861)
Sm (0.180, 0.060, 0.670)
Sm (0.180, 0.440, 0.670)
Sm (0.320, 0.560, 0.170)
Sm (0.320, 0.940, 0.170)
Sm (0.680, 0.060, 0.830)
Sm (0.680, 0.440, 0.830)
Sm (0.820, 0.560, 0.330)
Sm (0.820, 0.940, 0.330)
Pd (0.114, 0.750, 0.429)
Pd (0.386, 0.250, 0.929)
Pd (0.614, 0.750, 0.071)
Pd (0.886, 0.250, 0.571)

Values from the calculation:
- relative energy among the computed polymorphs (meV per atom) = 0
- crystal system = orthorhombic
- formation enthalpy at 0 K (eV/f.u.) = -1.7